The following is a DFT calculation (PBE) of an optimized crystal structure of SmY3Ho2Er6. Values from VASP.

```
&SYSTEM
  ibrav = 0, nat = 12, ntyp = 4
/
ATOMIC_SPECIES
Y 88.91 Y.upf
Er 167.26 Er.upf
Ho 164.93 Ho.upf
Sm 150.36 Sm.upf
CELL_PARAMETERS angstrom
6.121 0.003 0.003
-3.057 5.303 0.003
-1.022 -1.770 11.539
ATOMIC_POSITIONS crystal
Y 0.167 0.833 0.500
Er 0.916 0.583 0.750
Ho 0.333 0.667 0.000
Er 0.583 0.916 0.750
Er 0.084 0.417 0.250
Y 0.500 0.500 0.500
Er 0.417 0.084 0.250
Er 0.250 0.250 0.751
Er 0.750 0.750 0.249
Y 0.833 0.167 0.500
Ho 0.667 0.333 0.000
Sm 0.000 0.000 0.000
```

For the calculated density, the calculation gives 7.8 g cm⁻³. For the calculated total energy, the calculation gives -5.031 eV per atom. For the volume, the calculation gives 31.22 Å³ per atom. Its symmetry is C2/m. The value obtained for the formation energy is 23 meV/atom.

***

The following is a DFT calculation (PBE) of an optimized crystal structure of Sm2YHo6Er3. Values from VASP.

```
&SYSTEM
  ibrav = 0, nat = 12, ntyp = 4
/
ATOMIC_SPECIES
Ho 164.93 Ho.upf
Sm 150.36 Sm.upf
Er 167.26 Er.upf
Y 88.91 Y.upf
CELL_PARAMETERS angstrom
-1.110 0.430 6.014
-3.001 -4.144 -3.377
9.691 -6.503 1.217
ATOMIC_POSITIONS crystal
Ho 0.419 0.085 0.253
Sm 0.667 0.333 0.000
Er 0.834 0.166 0.500
Ho 0.581 0.915 0.747
Sm 0.333 0.667 0.000
Er 0.500 0.500 0.500
Ho 0.915 0.581 0.747
Ho 0.752 0.752 0.253
Y 0.000 0.000 0.000
Ho 0.248 0.248 0.747
Ho 0.085 0.419 0.253
Er 0.166 0.834 0.500
```

For the calculated density, the calculation gives 8.3 g cm⁻³. For the calculated total energy, the calculation gives -4.735 eV per atom. For the volume, the calculation gives 31.36 Å³ per atom. Its symmetry is C2/m. The value obtained for the formation energy is 20 meV/atom.

***

The following is a DFT calculation (PBE) of an optimized crystal structure of Sm3Y2Ho6Er. Values from VASP.

```
&SYSTEM
  ibrav = 0, nat = 12, ntyp = 4
/
ATOMIC_SPECIES
Ho 164.93 Ho.upf
Y 88.91 Y.upf
Sm 150.36 Sm.upf
Er 167.26 Er.upf
CELL_PARAMETERS angstrom
-5.290 2.832 1.401
0.692 -6.001 1.213
5.701 3.656 9.633
ATOMIC_POSITIONS crystal
Ho 0.750 0.750 0.248
Ho 0.083 0.415 0.248
Y 0.667 0.333 0.000
Ho 0.917 0.585 0.752
Sm 0.167 0.833 0.500
Ho 0.585 0.917 0.752
Sm 0.833 0.167 0.500
Ho 0.415 0.083 0.248
Er 0.000 0.000 0.000
Sm 0.500 0.500 0.500
Ho 0.250 0.250 0.752
Y 0.333 0.667 0.000
```

For the calculated density, the calculation gives 7.8 g cm⁻³. For the calculated total energy, the calculation gives -4.907 eV per atom. For the volume, the calculation gives 31.79 Å³ per atom. Its symmetry is C2/m. The value obtained for the formation energy is 20 meV/atom.

***

The following is a DFT calculation (PBE) of an optimized crystal structure of Sm2Y4HoEr2. Values from VASP.

```
&SYSTEM
  ibrav = 0, nat = 9, ntyp = 4
/
ATOMIC_SPECIES
Y 88.91 Y.upf
Er 167.26 Er.upf
Ho 164.93 Ho.upf
Sm 150.36 Sm.upf
CELL_PARAMETERS angstrom
-0.307 -2.231 2.805
-3.847 -5.272 -6.922
9.524 -0.465 0.674
ATOMIC_POSITIONS crystal
Y 0.815 0.630 0.668
Y 0.482 0.963 0.668
Er 0.667 0.333 0.000
Y 0.518 0.037 0.332
Er 0.333 0.667 0.000
Ho 0.000 0.000 0.000
Y 0.185 0.370 0.332
Sm 0.851 0.703 0.333
Sm 0.149 0.297 0.667
```

For the calculated density, the calculation gives 6.6 g cm⁻³. For the calculated total energy, the calculation gives -5.436 eV per atom. For the volume, the calculation gives 32.14 Å³ per atom. Its symmetry is C2/m. The value obtained for the formation energy is 8 meV/atom.

***

The following is a DFT calculation (PBE) of an optimized crystal structure of Sm6YHo2Er. Values from VASP.

```
&SYSTEM
  ibrav = 0, nat = 20, ntyp = 4
/
ATOMIC_SPECIES
Sm 150.36 Sm.upf
Er 167.26 Er.upf
Y 88.91 Y.upf
Ho 164.93 Ho.upf
CELL_PARAMETERS angstrom
-8.689 1.444 3.810
-2.313 -7.684 -3.826
4.056 -0.316 7.905
ATOMIC_POSITIONS crystal
Sm 0.119 0.710 0.495
Er 0.250 0.410 0.590
Sm 0.054 0.122 0.758
Y 0.250 0.975 0.025
Ho 0.045 0.304 0.200
Sm 0.381 0.505 0.290
Ho 0.955 0.696 0.800
Sm 0.619 0.495 0.710
Sm 0.813 0.434 0.986
Sm 0.881 0.290 0.505
Y 0.750 0.025 0.975
Sm 0.313 0.986 0.434
Sm 0.187 0.566 0.014
Er 0.750 0.590 0.410
Sm 0.554 0.758 0.122
Sm 0.946 0.878 0.242
Sm 0.446 0.242 0.878
Ho 0.545 0.200 0.304
Ho 0.455 0.800 0.696
Sm 0.687 0.014 0.566
```

For the calculated density, the calculation gives 7.4 g cm⁻³. For the calculated total energy, the calculation gives -4.734 eV per atom. For the volume, the calculation gives 33.19 Å³ per atom. Its symmetry is C2/c. The value obtained for the formation energy is 116 meV/atom.

***

The following is a DFT calculation (PBE) of an optimized crystal structure of Sm6Y2HoEr3. Values from VASP.

```
&SYSTEM
  ibrav = 0, nat = 12, ntyp = 4
/
ATOMIC_SPECIES
Y 88.91 Y.upf
Er 167.26 Er.upf
Sm 150.36 Sm.upf
Ho 164.93 Ho.upf
CELL_PARAMETERS angstrom
-5.766 -0.361 -2.279
3.514 -5.107 0.374
-3.342 -0.217 11.302
ATOMIC_POSITIONS crystal
Y 0.667 0.333 0.000
Er 0.833 0.167 0.500
Sm 0.752 0.752 0.252
Y 0.333 0.667 0.000
Er 0.500 0.500 0.500
Er 0.167 0.833 0.500
Sm 0.916 0.583 0.749
Sm 0.248 0.248 0.748
Ho 0.000 0.000 0.000
Sm 0.417 0.084 0.251
Sm 0.084 0.417 0.251
Sm 0.583 0.916 0.749
```

For the calculated density, the calculation gives 7.5 g cm⁻³. For the calculated total energy, the calculation gives -4.944 eV per atom. For the volume, the calculation gives 32.31 Å³ per atom. Its symmetry is C2/m. The value obtained for the formation energy is 15 meV/atom.